# 1
Entry from Alexandria: a relaxed KNi2Ge crystal (PBE).

Unit cell a=4.924 b=4.924 c=8.517 alpha=73.20 beta=73.20 gamma=90.00
Fractional positions:
Ni 0.875 0.625 0.250
K 0.500 0.500 0.000
Ni 0.875 0.125 0.750
Ni 0.875 0.125 0.250
Ge 0.750 0.250 0.500
Ni 0.375 0.125 0.750
K 0.250 0.750 0.500
Ge 0.000 0.000 0.000

Calculated values
* space-group type: I4_1/amd
* DOS at the Fermi energy: 0.674 states/eV per atom
* energy of formation: 237 meV per atom

***

# 2
Entry from Alexandria: a relaxed K2NiGe2 crystal (PBE).

Unit cell a=6.418 b=6.418 c=5.710 alpha=90.00 beta=90.00 gamma=90.00
Fractional positions:
K 0.682 0.818 0.500
K 0.318 0.182 0.500
K 0.182 0.682 0.500
Ni 0.500 0.500 0.000
Ge 0.643 0.143 0.000
Ni 0.000 0.000 0.000
Ge 0.143 0.357 0.000
Ge 0.857 0.643 0.000
K 0.818 0.318 0.500
Ge 0.357 0.857 0.000

Calculated values
* space-group type: P4/mbm
* DOS at the Fermi energy: 0.565 states/eV per atom
* energy of formation: 51 meV per atom

***

# 3
Entry from Alexandria: a relaxed KNiGe3 crystal (PBE).

Unit cell a=4.787 b=4.787 c=4.787 alpha=90.00 beta=90.00 gamma=90.00
Fractional positions:
Ge 0.000 0.000 0.500
K 0.500 0.500 0.500
Ge 0.000 0.500 0.000
Ni 0.000 0.000 0.000
Ge 0.500 0.000 0.000

Calculated values
* space-group type: Pm-3m
* DOS at the Fermi energy: 0.727 states/eV per atom
* energy of formation: 185 meV per atom

***

Total magnetization? In order: 0.000 0.000 0.000 μB/cell.